! Dy4TmSc6, relaxed, DFT PBE; values from VASP
! * energy above the lowest structure with this stoichiometry: 0.000 eV per formula unit
! * energy of formation: 0.126 eV/atom
&SYSTEM
  ibrav = 0, nat = 22, ntyp = 3
/
ATOMIC_SPECIES
Sc 44.96 Sc.upf
Dy 162.50 Dy.upf
Tm 168.93 Tm.upf
ATOMIC_POSITIONS angstrom
Sc -2.632 -0.211 0.438
Sc 0.529 5.120 5.652
Sc -3.007 18.706 7.314
Sc 0.062 4.110 2.355
Sc -0.087 7.266 2.983
Sc -3.195 11.729 2.814
Sc -2.209 1.711 3.911
Sc -0.737 21.106 5.758
Sc -2.537 8.673 5.296
Sc -0.408 14.144 4.373
Sc -2.858 15.551 6.686
Sc -3.474 17.697 4.017
Dy 0.223 0.721 1.690
Dy -3.618 20.717 4.614
Dy -3.333 14.678 3.412
Dy 0.387 8.139 6.257
Dy -0.245 10.652 3.666
Dy -3.168 22.095 7.979
Dy -2.700 12.165 6.003
Dy 0.672 2.100 5.055
Tm -2.374 5.193 4.598
Tm -0.572 17.624 5.071
CELL_PARAMETERS angstrom
-5.264 -0.423 0.876
3.445 -0.642 4.040
-1.127 23.881 4.753

---

! Ba2NaCd7, relaxed, DFT PBE; values from VASP
! * energy of formation: -0.244 eV/atom
&SYSTEM
  ibrav = 0, nat = 10, ntyp = 3
/
ATOMIC_SPECIES
Ba 137.33 Ba.upf
Cd 112.41 Cd.upf
Na 22.99 Na.upf
ATOMIC_POSITIONS angstrom
Ba 0.000 2.398 3.422
Ba 2.398 0.000 9.717
Cd 0.000 0.000 0.000
Cd 0.000 2.398 8.338
Cd 0.000 0.000 6.569
Cd 2.398 0.000 1.881
Cd 0.000 2.398 11.258
Cd 2.398 0.000 4.801
Cd 2.398 2.398 6.569
Na 2.398 2.398 0.000
CELL_PARAMETERS angstrom
4.797 0.000 0.000
0.000 4.797 0.000
0.000 0.000 13.139

---

Number 1: volume 27.46 Å³ per atom. Number 2: volume 30.23 Å³ per atom.